{
  "formula": "AsSClOF8",
  "functional": "GGA-PBEsol",
  "state": "optimized geometry",
  "cell": [[8.168, 0.000, -0.031], [0.000, 9.053, 0.000], [-0.926, 0.000, 9.774]],
  "species": ["Cl", "Cl", "Cl", "Cl", "F", "F", "F", "F", "F", "F", "F", "F", "F", "F", "F", "F", "F", "F", "F", "F", "F", "F", "F", "F", "F", "F", "F", "F", "F", "F", "F", "F", "F", "F", "F", "F", "S", "S", "S", "S", "O", "O", "O", "O", "As", "As", "As", "As"],
  "frac_coords": [[0.039, 0.297, 0.191], [0.534, 0.202, 0.686], [0.466, 0.702, 0.314], [0.961, 0.797, 0.809], [0.583, 0.859, 0.746], [0.830, 0.350, 0.905], [0.088, 0.488, 0.875], [0.821, 0.782, 0.268], [0.128, 0.943, 0.621], [0.594, 0.282, 0.463], [0.079, 0.646, 0.238], [0.538, 0.788, 0.061], [0.912, 0.988, 0.125], [0.103, 0.233, 0.966], [0.417, 0.100, 0.165], [0.643, 0.092, 0.940], [0.908, 0.403, 0.669], [0.872, 0.443, 0.379], [0.179, 0.282, 0.732], [0.682, 0.230, 0.234], [0.148, 0.411, 0.442], [0.590, 0.023, 0.379], [0.326, 0.156, 0.398], [0.897, 0.733, 0.034], [0.921, 0.146, 0.762], [0.852, 0.911, 0.558], [0.462, 0.288, 0.939], [0.092, 0.903, 0.331], [0.357, 0.592, 0.060], [0.406, 0.782, 0.537], [0.583, 0.600, 0.835], [0.417, 0.359, 0.254], [0.170, 0.850, 0.095], [0.674, 0.656, 0.602], [0.318, 0.730, 0.766], [0.410, 0.523, 0.621], [0.519, 0.643, 0.137], [0.998, 0.822, 0.622], [0.002, 0.322, 0.378], [0.481, 0.143, 0.863], [0.032, 0.697, 0.546], [0.647, 0.543, 0.125], [0.968, 0.197, 0.454], [0.353, 0.043, 0.875], [0.496, 0.689, 0.686], [0.003, 0.319, 0.816], [0.504, 0.189, 0.314], [0.997, 0.819, 0.184]],
  "spacegroup": "P2_1, No. 4",
  "raw_formation_energy_kcal_per_mol_atoms": -39.7
}

{
  "formula": "AsS3Cl3F6",
  "functional": "GGA-PBEsol",
  "state": "optimized geometry",
  "cell": [[-5.599, -2.876, -4.345], [0.434, -7.841, -1.513], [-7.922, -2.683, 5.532]],
  "species": ["S", "S", "S", "S", "S", "S", "Cl", "Cl", "Cl", "Cl", "Cl", "Cl", "F", "F", "F", "F", "F", "F", "F", "F", "F", "F", "F", "F", "As", "As"],
  "frac_coords": [[0.884, 0.338, 0.597], [0.513, 0.792, 0.964], [0.116, 0.662, 0.403], [0.487, 0.208, 0.036], [0.347, 0.171, 0.930], [0.653, 0.829, 0.070], [0.877, 0.347, 0.794], [0.123, 0.653, 0.206], [0.508, 0.164, 0.711], [0.173, 0.279, 0.474], [0.492, 0.836, 0.289], [0.827, 0.721, 0.526], [0.811, 0.413, 0.349], [0.802, 0.068, 0.166], [0.467, 0.639, 0.691], [0.078, 0.120, 0.205], [0.167, 0.632, 0.899], [0.833, 0.368, 0.101], [0.198, 0.932, 0.834], [0.779, 0.117, 0.414], [0.533, 0.361, 0.309], [0.922, 0.880, 0.795], [0.221, 0.883, 0.586], [0.189, 0.587, 0.651], [0.807, 0.240, 0.256], [0.193, 0.760, 0.744]],
  "spacegroup": "P-1, No. 2",
  "raw_formation_energy_kcal_per_mol_atoms": -27.6
}

{
  "formula": "AsSCl3F6",
  "functional": "GGA-PBEsol",
  "state": "optimized geometry",
  "cell": [[7.829, 0.000, 0.000], [0.000, 8.858, 0.000], [0.000, 0.000, 11.860]],
  "species": ["Cl", "Cl", "Cl", "Cl", "Cl", "Cl", "Cl", "Cl", "Cl", "Cl", "Cl", "Cl", "F", "F", "F", "F", "F", "F", "F", "F", "F", "F", "F", "F", "F", "F", "F", "F", "F", "F", "F", "F", "F", "F", "F", "F", "As", "As", "As", "As", "S", "S", "S", "S"],
  "frac_coords": [[0.138, 0.994, 0.617], [0.843, 0.337, 0.565], [0.223, 0.178, 0.904], [0.862, 0.494, 0.883], [0.343, 0.163, 0.435], [0.657, 0.663, 0.065], [0.157, 0.837, 0.935], [0.638, 0.506, 0.383], [0.777, 0.678, 0.596], [0.277, 0.822, 0.404], [0.723, 0.322, 0.096], [0.362, 0.006, 0.117], [0.119, 0.280, 0.152], [0.128, 0.631, 0.763], [0.460, 0.451, 0.614], [0.540, 0.951, 0.886], [0.960, 0.049, 0.386], [0.881, 0.780, 0.348], [0.580, 0.042, 0.688], [0.169, 0.545, 0.565], [0.872, 0.131, 0.737], [0.793, 0.865, 0.775], [0.920, 0.958, 0.188], [0.372, 0.369, 0.263], [0.040, 0.549, 0.114], [0.331, 0.455, 0.065], [0.669, 0.955, 0.435], [0.628, 0.869, 0.237], [0.420, 0.542, 0.812], [0.381, 0.720, 0.652], [0.619, 0.220, 0.848], [0.831, 0.045, 0.935], [0.707, 0.135, 0.275], [0.207, 0.365, 0.725], [0.080, 0.458, 0.312], [0.293, 0.635, 0.225], [0.204, 0.459, 0.189], [0.796, 0.959, 0.311], [0.296, 0.541, 0.689], [0.704, 0.041, 0.811], [0.844, 0.530, 0.479], [0.344, 0.970, 0.521], [0.156, 0.030, 0.021], [0.656, 0.470, 0.979]],
  "spacegroup": "P2_12_12_1, No. 19",
  "raw_formation_energy_kcal_per_mol_atoms": -33.8
}

{
  "formula": "FeAsCl2",
  "functional": "GGA-PBEsol",
  "state": "optimized geometry",
  "cell": [[-3.108, 0.433, 0.126], [-1.935, -2.471, -0.102], [-1.391, -1.292, 9.312]],
  "species": ["Cl", "Cl", "Fe", "As"],
  "frac_coords": [[0.213, 0.213, 0.362], [0.787, 0.787, 0.638], [0.500, 0.500, 0.500], [0.000, 0.000, 0.000]],
  "spacegroup": "R-3m, No. 166",
  "relative_energy_mev_per_atom": 267,
  "raw_formation_energy_kcal_per_mol_atoms": 1.1
}

{
  "formula": "FeAsCl2",
  "functional": "GGA-PBEsol",
  "state": "optimized geometry",
  "cell": [[-0.912, 1.686, -2.443], [0.843, -3.815, -2.947], [-5.687, -0.835, 3.519]],
  "species": ["Fe", "As", "Cl", "Cl"],
  "frac_coords": [[0.473, 0.473, 0.945], [0.125, 0.625, 0.249], [0.840, 0.340, 0.680], [0.063, 0.063, 0.126]],
  "spacegroup": "Imm2, No. 44",
  "relative_energy_mev_per_atom": 86,
  "raw_formation_energy_kcal_per_mol_atoms": -3.1
}

{
  "formula": "Fe2AsCl",
  "functional": "GGA-PBEsol",
  "state": "optimized geometry",
  "cell": [[3.028, 0.000, 0.000], [0.000, 3.186, 0.020], [0.000, -0.039, 6.152]],
  "species": ["Fe", "Fe", "Cl", "As"],
  "frac_coords": [[0.000, 0.500, 0.688], [0.000, 0.500, 0.312], [0.500, 0.500, 0.000], [0.500, 0.000, 0.500]],
  "spacegroup": "Pmmm, No. 47",
  "relative_energy_mev_per_atom": 0,
  "raw_formation_energy_kcal_per_mol_atoms": 0.5
}

{
  "formula": "FeAsCl",
  "functional": "GGA-PBEsol",
  "state": "optimized geometry",
  "cell": [[-1.902, 0.953, -3.428], [0.163, -2.502, -3.161], [-3.288, -2.052, -1.120]],
  "species": ["Cl", "Fe", "As"],
  "frac_coords": [[0.500, 0.500, 0.500], [0.750, 0.750, 0.750], [0.000, 0.000, 0.000]],
  "spacegroup": "F-43m, No. 216",
  "raw_formation_energy_kcal_per_mol_atoms": 5.1
}

{
  "formula": "Fe2AsCl",
  "functional": "GGA-PBEsol",
  "state": "optimized geometry",
  "cell": [[-2.432, -1.748, -0.026], [-0.469, -1.946, 2.227], [-4.579, 3.740, 4.316]],
  "species": ["As", "Cl", "Fe", "Fe"],
  "frac_coords": [[0.500, 0.500, 0.500], [0.000, 0.000, 0.000], [0.752, 0.752, 0.744], [0.248, 0.248, 0.256]],
  "spacegroup": "R-3m, No. 166",
  "relative_energy_mev_per_atom": 145,
  "raw_formation_energy_kcal_per_mol_atoms": 3.8
}

{
  "formula": "FeAsCl2",
  "functional": "GGA-PBEsol",
  "state": "optimized geometry",
  "cell": [[3.219, 0.000, 0.000], [0.000, 4.725, 0.023], [0.000, -1.530, 4.886]],
  "species": ["Cl", "Cl", "Fe", "As"],
  "frac_coords": [[0.500, 0.641, 0.355], [0.000, 0.008, 0.992], [0.000, 0.526, 0.996], [0.500, 0.325, 0.657]],
  "spacegroup": "Pm, No. 6",
  "relative_energy_mev_per_atom": 0,
  "raw_formation_energy_kcal_per_mol_atoms": -5.1
}

{
  "formula": "FeAsCl2",
  "functional": "GGA-PBEsol",
  "state": "optimized geometry",
  "cell": [[3.283, -0.118, 0.000], [-1.598, 2.870, 0.000], [0.000, 0.000, 8.512]],
  "species": ["Fe", "As", "Cl", "Cl"],
  "frac_coords": [[0.000, 0.000, 0.492], [0.500, 0.500, 0.284], [0.500, 0.500, 0.677], [0.000, 0.000, 0.047]],
  "spacegroup": "Cmm2, No. 35",
  "relative_energy_mev_per_atom": 219,
  "raw_formation_energy_kcal_per_mol_atoms": 0.0
}

{
  "formula": "FeAsSCl2",
  "functional": "GGA-PBEsol",
  "state": "optimized geometry",
  "cell": [[4.640, 0.000, 0.000], [0.000, 4.406, 0.000], [0.000, 0.000, 4.406]],
  "species": ["Cl", "Cl", "Fe", "S", "As"],
  "frac_coords": [[0.000, 0.000, 0.500], [0.000, 0.500, 0.000], [0.000, 0.000, 0.000], [0.500, 0.000, 0.000], [0.500, 0.500, 0.500]],
  "spacegroup": "P4/mmm, No. 123",
  "raw_formation_energy_kcal_per_mol_atoms": 3.8
}

{
  "formula": "GaHg3AsSCl4",
  "functional": "GGA-PBEsol",
  "state": "optimized geometry",
  "cell": [[-2.014, -1.569, 6.763], [-0.601, -4.986, -5.200], [11.066, -3.841, 2.405]],
  "species": ["Cl", "Cl", "Cl", "Cl", "Cl", "Cl", "Cl", "Cl", "Hg", "Hg", "Hg", "Hg", "Hg", "Hg", "As", "As", "S", "S", "Ga", "Ga"],
  "frac_coords": [[0.833, 0.667, 0.286], [0.000, 0.000, 0.549], [0.167, 0.833, 0.786], [0.333, 0.167, 0.286], [0.667, 0.833, 0.786], [0.167, 0.333, 0.786], [0.000, 0.000, 0.049], [0.833, 0.167, 0.286], [0.502, 0.004, 0.039], [0.004, 0.502, 0.539], [0.996, 0.498, 0.039], [0.502, 0.498, 0.039], [0.498, 0.996, 0.539], [0.498, 0.502, 0.539], [0.333, 0.667, 0.423], [0.667, 0.333, 0.923], [0.667, 0.333, 0.639], [0.333, 0.667, 0.139], [0.000, 0.000, 0.734], [0.000, 0.000, 0.234]],
  "spacegroup": "P6_3mc, No. 186",
  "raw_formation_energy_kcal_per_mol_atoms": -14.6
}

{
  "formula": "Mn2GaAsCl",
  "functional": "GGA-PBEsol",
  "state": "optimized geometry",
  "cell": [[-4.221, 0.622, -1.945], [-1.737, -3.441, 2.670], [-1.210, 3.522, 3.752]],
  "species": ["Mn", "Mn", "Cl", "Ga", "As"],
  "frac_coords": [[0.500, 0.000, 0.000], [0.000, 0.500, 0.000], [0.500, 0.500, 0.500], [0.000, 0.000, 0.500], [0.000, 0.000, 0.000]],
  "spacegroup": "P4/mmm, No. 123",
  "raw_formation_energy_kcal_per_mol_atoms": 11.5
}

{
  "formula": "GaAsP2Cl",
  "functional": "GGA-PBEsol",
  "state": "optimized geometry",
  "cell": [[-1.249, 1.211, 4.160], [-4.172, -2.104, -0.640], [1.769, -4.027, 1.704]],
  "species": ["Ga", "Cl", "P", "P", "As"],
  "frac_coords": [[0.000, 0.000, 0.000], [0.500, 0.000, 0.000], [0.000, 0.000, 0.500], [0.000, 0.500, 0.000], [0.500, 0.500, 0.500]],
  "spacegroup": "P4/mmm, No. 123",
  "raw_formation_energy_kcal_per_mol_atoms": 15.1
}

{
  "formula": "GaAsPd2Cl",
  "functional": "GGA-PBEsol",
  "state": "optimized geometry",
  "cell": [[-3.955, 2.268, 0.672], [-0.203, -1.631, 4.305], [2.694, 4.190, 1.715]],
  "species": ["Pd", "Pd", "Cl", "As", "Ga"],
  "frac_coords": [[0.000, 0.500, 0.000], [0.500, 0.000, 0.000], [0.000, 0.000, 0.500], [0.000, 0.000, 0.000], [0.500, 0.500, 0.500]],
  "spacegroup": "P4/mmm, No. 123",
  "raw_formation_energy_kcal_per_mol_atoms": 3.9
}

{
  "formula": "GeAsPCl2",
  "functional": "GGA-PBEsol",
  "state": "optimized geometry",
  "cell": [[-2.059, -3.445, 2.524], [2.898, 0.931, 3.635], [-3.322, 3.305, 1.801]],
  "species": ["Cl", "Cl", "P", "As", "Ge"],
  "frac_coords": [[0.000, 0.500, 0.000], [0.500, 0.000, 0.000], [0.000, 0.000, 0.500], [0.000, 0.000, 0.000], [0.500, 0.500, 0.500]],
  "spacegroup": "P4/mmm, No. 123",
  "raw_formation_energy_kcal_per_mol_atoms": 8.4
}

{
  "formula": "GeAsSe2Cl",
  "functional": "GGA-PBEsol",
  "state": "optimized geometry",
  "cell": [[4.876, 0.000, 0.000], [0.000, 4.846, 0.000], [0.000, 0.000, 4.846]],
  "species": ["Cl", "As", "Se", "Se", "Ge"],
  "frac_coords": [[0.000, 0.000, 0.000], [0.500, 0.000, 0.000], [0.000, 0.000, 0.500], [0.000, 0.500, 0.000], [0.500, 0.500, 0.500]],
  "spacegroup": "P4/mmm, No. 123",
  "raw_formation_energy_kcal_per_mol_atoms": 20.2
}

{
  "formula": "TcGeAs2Cl",
  "functional": "GGA-PBEsol",
  "state": "optimized geometry",
  "cell": [[-0.573, 2.358, -4.030], [3.525, -2.445, -1.932], [-3.184, -3.384, -1.528]],
  "species": ["Cl", "As", "As", "Ge", "Tc"],
  "frac_coords": [[0.000, 0.000, 0.500], [0.500, 0.000, 0.000], [0.000, 0.500, 0.000], [0.500, 0.500, 0.500], [0.000, 0.000, 0.000]],
  "spacegroup": "P4/mmm, No. 123",
  "raw_formation_energy_kcal_per_mol_atoms": 10.8
}

{
  "formula": "AsPHCl2",
  "functional": "GGA-PBEsol",
  "state": "optimized geometry",
  "cell": [[-2.316, 4.110, 1.178], [0.877, -0.855, 4.706], [2.796, 1.640, -0.223]],
  "species": ["As", "Cl", "Cl", "H", "P"],
  "frac_coords": [[0.500, 0.500, 0.500], [0.500, 0.000, 0.000], [0.000, 0.500, 0.000], [0.000, 0.000, 0.000], [0.000, 0.000, 0.500]],
  "total_energy_ev_per_atom": -3.069,
  "spacegroup": "P4/mmm, No. 123"
}

{
  "formula": "Tl2AsHCl",
  "functional": "GGA-PBEsol",
  "state": "optimized geometry",
  "cell": [[4.495, 0.000, 0.000], [0.000, 4.495, 0.000], [0.000, 0.000, 5.009]],
  "species": ["Cl", "As", "H", "Tl", "Tl"],
  "frac_coords": [[0.000, 0.000, 0.500], [0.500, 0.500, 0.500], [0.000, 0.000, 0.000], [0.000, 0.500, 0.000], [0.500, 0.000, 0.000]],
  "total_energy_ev_per_atom": -2.832,
  "spacegroup": "P4/mmm, No. 123"
}

{
  "formula": "Hg3AsCl",
  "functional": "GGA-PBEsol",
  "state": "optimized geometry",
  "cell": [[-1.106, 3.689, -3.533], [-4.665, -2.202, -0.840], [-2.082, 2.976, 3.759]],
  "species": ["As", "Cl", "Hg", "Hg", "Hg"],
  "frac_coords": [[0.000, 0.000, 0.000], [0.500, 0.500, 0.500], [0.000, 0.500, 0.000], [0.500, 0.000, 0.000], [0.000, 0.000, 0.500]],
  "spacegroup": "Pm-3m, No. 221",
  "raw_formation_energy_kcal_per_mol_atoms": -0.6
}

{
  "formula": "HgAsCl2",
  "functional": "GGA-PBEsol",
  "state": "optimized geometry",
  "cell": [[-0.706, -2.319, -2.749], [3.331, 0.464, 1.197], [-1.150, -6.374, 5.673]],
  "species": ["Cl", "Cl", "Hg", "As"],
  "frac_coords": [[0.000, 0.000, 0.945], [0.500, 0.000, 0.302], [0.000, 0.000, 0.509], [0.500, 0.000, 0.743]],
  "spacegroup": "Cmm2, No. 35",
  "relative_energy_mev_per_atom": 97,
  "raw_formation_energy_kcal_per_mol_atoms": -2.9
}

{
  "formula": "Hg2AsCl",
  "functional": "GGA-PBEsol",
  "state": "optimized geometry",
  "cell": [[4.913, 0.000, 0.000], [2.457, 4.255, 0.000], [2.457, 1.418, 4.012]],
  "species": ["Hg", "Hg", "As", "Cl"],
  "frac_coords": [[0.750, 0.750, 0.750], [0.000, 0.000, 0.000], [0.500, 0.500, 0.500], [0.250, 0.250, 0.250]],
  "spacegroup": "F-43m, No. 216",
  "relative_energy_mev_per_atom": 400,
  "raw_formation_energy_kcal_per_mol_atoms": 5.6
}